(1)
# NdMnFeP2 | Alexandria | PBE-GGA | optimized geometry
# Raw total energy = -7.580 eV/atom
# Energy of formation = -936 meV/atom
# DOS at the Fermi energy = 3.37 states/eV per cell
# Crystal system = tetragonal
# Total moment = 0.00 μB per cell
data_NdMnFeP2
_space_group_name_H-M_alt 'P 1'
_space_group_IT_number 1
_space_group_name_Hall 'P 1'
_cell_length_a 5.696
_cell_length_b 5.696
_cell_length_c 5.696
_cell_angle_alpha 139.95
_cell_angle_beta 139.95
_cell_angle_gamma 57.93
loop_
_atom_site_label
_atom_site_fract_x
_atom_site_fract_y
_atom_site_fract_z
Nd1 0.000 0.000 0.000
Mn1 0.750 0.250 0.500
Fe1 0.250 0.750 0.500
P1 0.356 0.356 0.000
P2 0.644 0.644 0.000



(2)
# Mn2FeNi8 | Alexandria | PBE-GGA | optimized geometry
# Raw total energy = -6.565 eV/atom
# Energy of formation = 76 meV/atom
# DOS at the Fermi energy = 15.33 states/eV per cell
# Crystal system = orthorhombic
# Total moment = 13.53 μB per cell
data_Mn2FeNi8
_space_group_name_H-M_alt 'P 1'
_space_group_IT_number 1
_space_group_name_Hall 'P 1'
_cell_length_a 6.572
_cell_length_b 6.572
_cell_length_c 6.572
_cell_angle_alpha 145.67
_cell_angle_beta 125.26
_cell_angle_gamma 66.23
loop_
_atom_site_label
_atom_site_fract_x
_atom_site_fract_y
_atom_site_fract_z
Mn1 0.199 0.199 0.000
Mn2 0.801 0.801 0.000
Fe1 0.500 0.500 0.000
Ni1 0.066 0.354 0.712
Ni2 0.205 0.000 0.205
Ni3 0.347 0.847 0.500
Ni4 0.358 0.646 0.712
Ni5 0.642 0.354 0.288
Ni6 0.653 0.153 0.500
Ni7 0.795 0.000 0.795
Ni8 0.934 0.646 0.288



(3)
# Mn3FeNi | Alexandria | PBE-GGA | optimized geometry
# Raw total energy = -7.226 eV/atom
# Energy of formation = 1125 meV/atom
# Offset from the most stable computed form = 0 meV/atom
# DOS at the Fermi energy = 8.23 states/eV per cell
# Crystal system = cubic
# Total moment = 8.25 μB per cell
data_Mn3FeNi
_space_group_name_H-M_alt 'P 1'
_space_group_IT_number 1
_space_group_name_Hall 'P 1'
_cell_length_a 4.243
_cell_length_b 4.243
_cell_length_c 4.243
_cell_angle_alpha 90.00
_cell_angle_beta 90.00
_cell_angle_gamma 90.00
loop_
_atom_site_label
_atom_site_fract_x
_atom_site_fract_y
_atom_site_fract_z
Mn1 0.000 0.000 0.500
Mn2 0.000 0.500 0.000
Mn3 0.500 0.000 0.000
Fe1 0.000 0.000 0.000
Ni1 0.500 0.500 0.500



(4)
# Mn2FeNi | Alexandria | PBE-GGA | optimized geometry
# Raw total energy = -8.087 eV/atom
# Energy of formation = 58 meV/atom
# Offset from the most stable computed form = 102 meV/atom
# DOS at the Fermi energy = 4.99 states/eV per cell
# Crystal system = tetragonal
# Total moment = 1.71 μB per cell
data_Mn2FeNi
_space_group_name_H-M_alt 'P 1'
_space_group_IT_number 1
_space_group_name_Hall 'P 1'
_cell_length_a 4.338
_cell_length_b 4.338
_cell_length_c 4.338
_cell_angle_alpha 131.91
_cell_angle_beta 131.91
_cell_angle_gamma 70.37
loop_
_atom_site_label
_atom_site_fract_x
_atom_site_fract_y
_atom_site_fract_z
Mn1 0.250 0.750 0.500
Mn2 0.750 0.250 0.500
Fe1 0.000 0.000 0.000
Ni1 0.500 0.500 0.000



(5)
# MnFeNi | Alexandria | PBE-GGA | optimized geometry
# Raw total energy = -7.715 eV/atom
# Energy of formation = 90 meV/atom
# Offset from the most stable computed form = 99 meV/atom
# DOS at the Fermi energy = 2.85 states/eV per cell
# Crystal system = trigonal
# Total moment = 0.32 μB per cell
data_MnFeNi
_space_group_name_H-M_alt 'P 1'
_space_group_IT_number 1
_space_group_name_Hall 'P 1'
_cell_length_a 4.012
_cell_length_b 4.012
_cell_length_c 2.465
_cell_angle_alpha 90.00
_cell_angle_beta 90.00
_cell_angle_gamma 120.00
loop_
_atom_site_label
_atom_site_fract_x
_atom_site_fract_y
_atom_site_fract_z
Mn1 0.000 0.000 0.000
Fe1 0.333 0.667 0.757
Ni1 0.667 0.333 0.369



(6)
# Mn2FeNi | Alexandria | PBE-GGA | optimized geometry
# Raw total energy = -8.077 eV/atom
# Energy of formation = 69 meV/atom
# Offset from the most stable computed form = 112 meV/atom
# DOS at the Fermi energy = 4.74 states/eV per cell
# Crystal system = orthorhombic
# Total moment = 1.92 μB per cell
data_Mn2FeNi
_space_group_name_H-M_alt 'P 1'
_space_group_IT_number 1
_space_group_name_Hall 'P 1'
_cell_length_a 4.334
_cell_length_b 4.334
_cell_length_c 2.488
_cell_angle_alpha 90.00
_cell_angle_beta 90.00
_cell_angle_gamma 110.19
loop_
_atom_site_label
_atom_site_fract_x
_atom_site_fract_y
_atom_site_fract_z
Mn1 0.000 0.500 0.000
Mn2 0.500 0.000 0.000
Fe1 0.000 0.000 0.500
Ni1 0.500 0.500 0.500



(7)
# MnFeNi3 | Alexandria | PBE-GGA | optimized geometry
# Raw total energy = -6.950 eV/atom
# Energy of formation = 45 meV/atom
# Offset from the most stable computed form = 6 meV/atom
# DOS at the Fermi energy = 14.25 states/eV per cell
# Crystal system = monoclinic
# Total moment = 15.65 μB per cell
data_MnFeNi3
_space_group_name_H-M_alt 'P 1'
_space_group_IT_number 1
_space_group_name_Hall 'P 1'
_cell_length_a 5.982
_cell_length_b 5.982
_cell_length_c 4.929
_cell_angle_alpha 105.10
_cell_angle_beta 105.10
_cell_angle_gamma 43.23
loop_
_atom_site_label
_atom_site_fract_x
_atom_site_fract_y
_atom_site_fract_z
Mn1 0.092 0.908 0.500
Mn2 0.908 0.092 0.000
Fe1 0.304 0.474 0.804
Fe2 0.474 0.304 0.304
Ni1 0.105 0.288 0.401
Ni2 0.288 0.105 0.901
Ni3 0.514 0.677 0.199
Ni4 0.677 0.514 0.699
Ni5 0.716 0.875 0.605
Ni6 0.875 0.716 0.105



(8)
# Mn2FeNi | Alexandria | PBE-GGA | optimized geometry
# Raw total energy = -7.999 eV/atom
# Energy of formation = 146 meV/atom
# Offset from the most stable computed form = 190 meV/atom
# DOS at the Fermi energy = 6.44 states/eV per cell
# Crystal system = orthorhombic
# Total moment = 5.38 μB per cell
data_Mn2FeNi
_space_group_name_H-M_alt 'P 1'
_space_group_IT_number 1
_space_group_name_Hall 'P 1'
_cell_length_a 2.432
_cell_length_b 2.432
_cell_length_c 8.074
_cell_angle_alpha 90.00
_cell_angle_beta 90.00
_cell_angle_gamma 110.48
loop_
_atom_site_label
_atom_site_fract_x
_atom_site_fract_y
_atom_site_fract_z
Mn1 0.000 0.000 0.250
Mn2 0.000 0.000 0.750
Fe1 0.500 0.500 0.000
Ni1 0.500 0.500 0.500



(9)
# MnFeNi | Alexandria | PBE-GGA | optimized geometry
# Raw total energy = -7.351 eV/atom
# Energy of formation = 453 meV/atom
# Offset from the most stable computed form = 463 meV/atom
# DOS at the Fermi energy = 1.72 states/eV per cell
# Crystal system = cubic
# Total moment = 7.23 μB per cell
data_MnFeNi
_space_group_name_H-M_alt 'P 1'
_space_group_IT_number 1
_space_group_name_Hall 'P 1'
_cell_length_a 3.943
_cell_length_b 3.943
_cell_length_c 3.943
_cell_angle_alpha 60.00
_cell_angle_beta 60.00
_cell_angle_gamma 60.00
loop_
_atom_site_label
_atom_site_fract_x
_atom_site_fract_y
_atom_site_fract_z
Mn1 0.000 0.000 0.000
Fe1 0.500 0.500 0.500
Ni1 0.250 0.250 0.250



(10)
# MnFeNi | Alexandria | PBE-GGA | optimized geometry
# Raw total energy = -7.814 eV/atom
# Energy of formation = -10 meV/atom
# Offset from the most stable computed form = 0 meV/atom
# DOS at the Fermi energy = 2.78 states/eV per cell
# Crystal system = orthorhombic
# Total moment = 0.12 μB per cell
data_MnFeNi
_space_group_name_H-M_alt 'P 1'
_space_group_IT_number 1
_space_group_name_Hall 'P 1'
_cell_length_a 4.368
_cell_length_b 4.368
_cell_length_c 4.368
_cell_angle_alpha 146.66
_cell_angle_beta 131.93
_cell_angle_gamma 59.76
loop_
_atom_site_label
_atom_site_fract_x
_atom_site_fract_y
_atom_site_fract_z
Mn1 0.000 0.000 0.000
Fe1 0.334 0.334 0.000
Ni1 0.668 0.668 0.000



(11)
# MnFeNi4 | Alexandria | PBE-GGA | optimized geometry
# Raw total energy = -6.825 eV/atom
# Energy of formation = -32 meV/atom
# Offset from the most stable computed form = 0 meV/atom
# DOS at the Fermi energy = 8.19 states/eV per cell
# Crystal system = monoclinic
# Total moment = 8.02 μB per cell
data_MnFeNi4
_space_group_name_H-M_alt 'P 1'
_space_group_IT_number 1
_space_group_name_Hall 'P 1'
_cell_length_a 4.401
_cell_length_b 4.401
_cell_length_c 5.141
_cell_angle_alpha 106.83
_cell_angle_beta 106.83
_cell_angle_gamma 46.29
loop_
_atom_site_label
_atom_site_fract_x
_atom_site_fract_y
_atom_site_fract_z
Mn1 0.000 0.000 0.000
Fe1 0.000 0.000 0.500
Ni1 0.332 0.332 0.663
Ni2 0.334 0.334 0.170
Ni3 0.666 0.666 0.830
Ni4 0.668 0.668 0.337



(12)
# Mn3FeNi12 | Alexandria | PBE-GGA | optimized geometry
# Raw total energy = -6.687 eV/atom
# Energy of formation = -103 meV/atom
# DOS at the Fermi energy = 14.74 states/eV per cell
# Crystal system = tetragonal
# Total moment = 19.74 μB per cell
data_Mn3FeNi12
_space_group_name_H-M_alt 'P 1'
_space_group_IT_number 1
_space_group_name_Hall 'P 1'
_cell_length_a 3.555
_cell_length_b 3.555
_cell_length_c 14.294
_cell_angle_alpha 90.00
_cell_angle_beta 90.00
_cell_angle_gamma 90.00
loop_
_atom_site_label
_atom_site_fract_x
_atom_site_fract_y
_atom_site_fract_z
Mn1 0.000 0.000 0.000
Mn2 0.000 0.000 0.250
Mn3 0.000 0.000 0.750
Fe1 0.000 0.000 0.500
Ni1 0.000 0.500 0.125
Ni2 0.000 0.500 0.377
Ni3 0.000 0.500 0.623
Ni4 0.000 0.500 0.875
Ni5 0.500 0.000 0.125
Ni6 0.500 0.000 0.377
Ni7 0.500 0.000 0.623
Ni8 0.500 0.000 0.875
Ni9 0.500 0.500 0.000
Ni10 0.500 0.500 0.251
Ni11 0.500 0.500 0.500
Ni12 0.500 0.500 0.749



Please write out number 12 again, unchanged.
# Mn3FeNi12 | Alexandria | PBE-GGA | optimized geometry
# Raw total energy = -6.687 eV/atom
# Energy of formation = -103 meV/atom
# DOS at the Fermi energy = 14.74 states/eV per cell
# Crystal system = tetragonal
# Total moment = 19.74 μB per cell
data_Mn3FeNi12
_space_group_name_H-M_alt 'P 1'
_space_group_IT_number 1
_space_group_name_Hall 'P 1'
_cell_length_a 3.555
_cell_length_b 3.555
_cell_length_c 14.294
_cell_angle_alpha 90.00
_cell_angle_beta 90.00
_cell_angle_gamma 90.00
loop_
_atom_site_label
_atom_site_fract_x
_atom_site_fract_y
_atom_site_fract_z
Mn1 0.000 0.000 0.000
Mn2 0.000 0.000 0.250
Mn3 0.000 0.000 0.750
Fe1 0.000 0.000 0.500
Ni1 0.000 0.500 0.125
Ni2 0.000 0.500 0.377
Ni3 0.000 0.500 0.623
Ni4 0.000 0.500 0.875
Ni5 0.500 0.000 0.125
Ni6 0.500 0.000 0.377
Ni7 0.500 0.000 0.623
Ni8 0.500 0.000 0.875
Ni9 0.500 0.500 0.000
Ni10 0.500 0.500 0.251
Ni11 0.500 0.500 0.500
Ni12 0.500 0.500 0.749



> Look up the total moment of the eighth one.

5.38 μB per cell



> Which of these has the highest total moment?

Mn3FeNi12